Record 1
Entry from Alexandria: a relaxed NaSm2RhO5 crystal (GGA-PBE).

Magnetic moment ... 4.01 Bohr magnetons per cell
Symmetry ... No. 127
Uncorrected formation energy ... -51.5 kcal/mol of atoms
Raw total energy ... -7.00 eV per atom

Cell lengths 5.793, 6.722, 6.722 Å; angles 90.00, 90.00, 90.00 degrees
Last column: magnetic moment on the atom in μB.
Sites, in units of the cell vectors:
Na: 0.000 0.500 0.500  0.00
Na: 0.000 0.000 0.000  0.00
Sm: 0.500 0.677 0.177  -0.01
Sm: 0.500 0.177 0.323  -0.01
Sm: 0.500 0.823 0.677  -0.01
Sm: 0.500 0.323 0.823  -0.01
Rh: 0.000 0.000 0.500  1.18
Rh: 0.000 0.500 0.000  1.18
O: 0.500 0.500 0.500  0.10
O: 0.500 0.000 0.000  0.10
O: 0.252 0.136 0.636  0.14
O: 0.252 0.864 0.364  0.14
O: 0.252 0.364 0.136  0.14
O: 0.252 0.636 0.864  0.14
O: 0.748 0.136 0.636  0.14
O: 0.748 0.636 0.864  0.14
O: 0.748 0.864 0.364  0.14
O: 0.748 0.364 0.136  0.14


Record 2
Entry from Alexandria: a relaxed La2BePN crystal (GGA-PBE).

Magnetic moment ... 0.00 Bohr magnetons per cell
Symmetry ... No. 11
E above lowest polymorph ... 0.00 eV per formula unit
Uncorrected formation energy ... -28.0 kcal/mol of atoms
Raw total energy ... -6.68 eV per atom

Cell lengths 3.772, 6.284, 8.507 Å; angles 109.41, 90.00, 90.00 degrees
Sites, in units of the cell vectors:
La: 0.750 0.792 0.610
La: 0.750 0.778 0.035
La: 0.250 0.208 0.390
La: 0.250 0.222 0.965
Be: 0.250 0.542 0.751
Be: 0.750 0.458 0.249
P: 0.250 0.658 0.295
P: 0.750 0.342 0.705
N: 0.250 0.817 0.826
N: 0.750 0.183 0.174


Record 3
Entry from Alexandria: a relaxed CePr2Cd crystal (GGA-PBE).

Magnetic moment ... 0.97 Bohr magnetons per cell
Symmetry ... No. 160
E above lowest polymorph ... 0.46 eV per formula unit
ΔH_f (0 K) ... 0.01 eV per atom
Raw total energy ... -4.10 eV per atom

Cell lengths 3.607, 3.607, 11.429 Å; angles 80.92, 80.92, 60.00 degrees
Last column: magnetic moment on the atom in μB.
Sites, in units of the cell vectors:
Ce: 0.500 0.500 0.501  0.74
Pr: 0.079 0.079 0.762  0.01
Pr: 0.254 0.254 0.237  0.01
Cd: 0.667 0.667 0.000  0.00


Record 4
Entry from Alexandria: a relaxed TlIn2Se2 crystal (GGA-PBE).

Magnetic moment ... 0.00 Bohr magnetons per cell
Symmetry ... No. 139
E above lowest polymorph ... 0.01 eV per formula unit
Uncorrected formation energy ... -8.2 kcal/mol of atoms
Raw total energy ... -3.32 eV per atom

Cell lengths 5.459, 5.459, 6.166 Å; angles 63.73, 63.73, 90.00 degrees
Sites, in units of the cell vectors:
Tl: 0.000 0.000 0.000
Se: 0.750 0.250 0.500
Se: 0.250 0.750 0.500
In: 0.348 0.348 0.304
In: 0.652 0.652 0.696


Record 5
Entry from Alexandria: a relaxed Sc2Se3O10 crystal (GGA-PBE).

Magnetic moment ... 0.00 Bohr magnetons per cell
Symmetry ... No. 14
Uncorrected formation energy ... -39.1 kcal/mol of atoms
Raw total energy ... -6.54 eV per atom

Cell lengths 6.618, 11.056, 12.927 Å; angles 90.00, 103.07, 90.00 degrees
Sites, in units of the cell vectors:
Sc: 0.803 0.842 0.593
Sc: 0.197 0.342 0.907
Sc: 0.197 0.158 0.407
Sc: 0.803 0.658 0.093
Sc: 0.265 0.706 0.536
Sc: 0.735 0.206 0.964
Sc: 0.735 0.294 0.464
Sc: 0.265 0.794 0.036
Se: 0.319 0.971 0.648
Se: 0.681 0.471 0.852
Se: 0.681 0.029 0.352
Se: 0.319 0.529 0.148
Se: 0.712 0.605 0.456
Se: 0.288 0.105 0.044
Se: 0.288 0.395 0.544
Se: 0.712 0.895 0.956
Se: 0.136 0.650 0.780
Se: 0.864 0.150 0.720
Se: 0.864 0.350 0.220
Se: 0.136 0.850 0.280
O: 0.129 0.866 0.588
O: 0.871 0.366 0.912
O: 0.871 0.134 0.412
O: 0.129 0.634 0.088
O: 0.307 0.073 0.549
O: 0.693 0.573 0.951
O: 0.693 0.927 0.451
O: 0.307 0.427 0.049
O: 0.518 0.874 0.637
O: 0.482 0.374 0.863
O: 0.482 0.126 0.363
O: 0.518 0.626 0.137
O: 0.585 0.684 0.540
O: 0.415 0.184 0.960
O: 0.415 0.316 0.460
O: 0.585 0.816 0.040
O: 0.931 0.695 0.500
O: 0.069 0.195 0.000
O: 0.069 0.305 0.500
O: 0.931 0.805 0.000
O: 0.766 0.473 0.523
O: 0.234 0.973 0.977
O: 0.234 0.527 0.477
O: 0.766 0.027 0.023
O: 0.287 0.634 0.692
O: 0.713 0.134 0.808
O: 0.713 0.366 0.308
O: 0.287 0.866 0.192
O: 0.917 0.725 0.731
O: 0.083 0.225 0.769
O: 0.083 0.275 0.269
O: 0.917 0.775 0.231
O: 0.275 0.726 0.883
O: 0.725 0.226 0.617
O: 0.725 0.274 0.117
O: 0.275 0.774 0.383
O: 0.079 0.512 0.816
O: 0.921 0.012 0.684
O: 0.921 0.488 0.184
O: 0.079 0.988 0.316


Record 6
Entry from Alexandria: a relaxed LiGeAs2O8 crystal (GGA-PBE).

Magnetic moment ... 1.08 Bohr magnetons per cell
Symmetry ... No. 119
Uncorrected formation energy ... -22.6 kcal/mol of atoms
Raw total energy ... -5.61 eV per atom

Cell lengths 5.544, 5.544, 5.544 Å; angles 108.08, 108.08, 112.29 degrees
Last column: magnetic moment on the atom in μB.
Sites, in units of the cell vectors:
Li: 0.000 0.000 0.000  0.00
Ge: 0.250 0.750 0.500  -0.01
As: 0.750 0.250 0.500  -0.02
As: 0.500 0.500 0.000  -0.01
O: 0.366 0.058 0.308  0.17
O: 0.318 0.520 0.202  0.06
O: 0.318 0.116 0.798  0.06
O: 0.750 0.058 0.692  0.17
O: 0.884 0.682 0.202  0.06
O: 0.942 0.250 0.308  0.17
O: 0.942 0.634 0.692  0.17
O: 0.480 0.682 0.798  0.06


Record 7
Entry from Alexandria: a relaxed ZrTe2P crystal (GGA-PBE).

Magnetic moment ... 0.00 Bohr magnetons per cell
Symmetry ... No. 99
E above lowest polymorph ... 0.00 eV per formula unit
Uncorrected formation energy ... -12.8 kcal/mol of atoms
Raw total energy ... -5.62 eV per atom

Cell lengths 3.580, 3.580, 8.037 Å; angles 90.00, 90.00, 90.00 degrees
Sites, in units of the cell vectors:
Zr: 0.000 0.000 0.563
Te: 0.000 0.000 0.930
Te: 0.500 0.500 0.336
P: 0.500 0.500 0.671


Record 8
Entry from Alexandria: a relaxed LiTcRh crystal (GGA-PBE).

Magnetic moment ... 0.00 Bohr magnetons per cell
Symmetry ... No. 42
E above lowest polymorph ... 0.28 eV per formula unit
ΔH_f (0 K) ... 0.14 eV per atom
Raw total energy ... -6.41 eV per atom

Cell lengths 7.209, 6.978, 2.667 Å; angles 84.09, 74.32, 21.59 degrees
Sites, in units of the cell vectors:
Li: 0.996 0.996 0.004
Rh: 0.333 0.333 0.667
Tc: 0.671 0.671 0.329


Copy entry 2 word for word.
Entry from Alexandria: a relaxed La2BePN crystal (GGA-PBE).

Magnetic moment ... 0.00 Bohr magnetons per cell
Symmetry ... No. 11
E above lowest polymorph ... 0.00 eV per formula unit
Uncorrected formation energy ... -28.0 kcal/mol of atoms
Raw total energy ... -6.68 eV per atom

Cell lengths 3.772, 6.284, 8.507 Å; angles 109.41, 90.00, 90.00 degrees
Sites, in units of the cell vectors:
La: 0.750 0.792 0.610
La: 0.750 0.778 0.035
La: 0.250 0.208 0.390
La: 0.250 0.222 0.965
Be: 0.250 0.542 0.751
Be: 0.750 0.458 0.249
P: 0.250 0.658 0.295
P: 0.750 0.342 0.705
N: 0.250 0.817 0.826
N: 0.750 0.183 0.174


Which value of magnetic moment does entry 5 give?
0.00 Bohr magnetons per cell


Number 2 is which compound?
La2BePN


What is the magnetic moment in the sixth record?
1.08 Bohr magnetons per cell